[1]
VASP calculation (PBEsol) on SrNd2Cu2O6 after structural relaxation.

The space group is I4mm (No. 107) and the conventional cell measures 3.802, 3.802 and 19.450 Å, with angles of 90.00, 90.00 and 90.00 degrees. Symmetry generates all atoms from Sr at (0.000, 0.000, 0.000), Nd at (0.000, 0.000, 0.640), Nd at (0.000, 0.000, 0.820), Cu at (0.000, 0.000, 0.232), Cu at (0.000, 0.000, 0.410), O at (0.000, 0.000, 0.123), O at (0.000, 0.000, 0.526), O at (0.000, 0.500, 0.236) and O at (0.000, 0.500, 0.396).

The value obtained for the uncorrected formation energy is -2.25 eV/atom. Its polymorph energy (0 for the lowest one) is 1.4 kJ per mole of atoms. The density of states at the Fermi level comes out at 0.244 states/eV per atom.

[2]
VASP calculation (PBEsol) on SrNd2Cu2O6 after structural relaxation.

The space group is I4/mmm (No. 139) and the conventional cell measures 3.792, 3.792 and 19.417 Å, with angles of 90.00, 90.00 and 90.00 degrees. Symmetry generates all atoms from Sr at (0.000, 0.000, 0.000), Nd at (0.000, 0.000, 0.177), Cu at (0.000, 0.000, 0.410), O at (0.000, 0.000, 0.294) and O at (0.000, 0.500, 0.091).

The value obtained for the uncorrected formation energy is -2.27 eV/atom. Its polymorph energy (0 for the lowest one) is 0.0 kJ per mole of atoms. The density of states at the Fermi level comes out at 0.178 states/eV per atom.

[3]
VASP calculation (PBEsol) on NdCuW2O8 after structural relaxation.

The space group is P-1 (No. 2) and the conventional cell measures 4.986, 6.029 and 6.223 Å, with angles of 109.00, 92.32 and 111.79 degrees. Symmetry generates all atoms from Nd at (0.000, 0.000, 0.000), Cu at (0.500, 0.000, 0.500), W at (0.244, 0.479, 0.664), O at (0.008, 0.252, 0.773), O at (0.026, 0.689, 0.662), O at (0.467, 0.297, 0.522) and O at (0.496, 0.726, 0.920).

The value obtained for the uncorrected formation energy is -2.21 eV/atom.

[4]
VASP calculation (PBEsol) on NdCu4P2 after structural relaxation.

The space group is Pnnm (No. 58) and the conventional cell measures 10.843, 14.430 and 3.827 Å, with angles of 90.00, 90.00 and 90.00 degrees. Symmetry generates all atoms from Nd at (0.000, 0.000, 0.000), Nd at (0.122, 0.273, 0.000), Cu at (0.069, 0.564, 0.000), Cu at (0.075, 0.831, 0.500), Cu at (0.100, 0.447, 0.500), Cu at (0.173, 0.714, 0.000), Cu at (0.234, 0.964, 0.500), Cu at (0.244, 0.588, 0.500), P at (0.059, 0.664, 0.500), P at (0.134, 0.115, 0.500) and P at (0.206, 0.871, 0.000).

For the raw total energy, the calculation gives -228.7 eV/cell. The density of states at the Fermi level comes out at 0.197 states/eV per atom.

[5]
VASP calculation (PBEsol) on NdCu4Pd after structural relaxation.

The space group is R3m (No. 160, hexagonal axes) and the conventional cell measures 4.9332, 4.9332 and 12.8915 Å, with angles of 90.00, 90.00 and 120.00 degrees. Symmetry generates all atoms from Nd at (0.0000, 0.0000, 0.0000), Cu at (0.0000, 0.0000, 0.7690), Cu at (0.1673, 0.3347, 0.2023) and Pd at (0.0000, 0.0000, 0.3721).

For the raw total energy, the calculation gives -90.0 eV/cell. The density of states at the Fermi level comes out at 0.487 states/eV per atom.

[6]
VASP calculation (PBEsol) on NdCu3Pd2 after structural relaxation.

The space group is Imm2 (No. 44) and the conventional cell measures 4.887, 5.380 and 7.196 Å, with angles of 90.00, 90.00 and 90.00 degrees. Symmetry generates all atoms from Nd at (0.000, 0.000, 0.000), Cu at (0.000, 0.500, 0.775), Cu at (0.250, 0.000, 0.613) and Pd at (0.000, 0.247, 0.366).

For the raw total energy, the calculation gives -64.7 eV/cell. The density of states at the Fermi level comes out at 0.239 states/eV per atom.

[7]
VASP calculation (PBEsol) on RbNd2CuS4 after structural relaxation.

The space group is Cmcm (No. 63) and the conventional cell measures 4.026, 13.952 and 13.831 Å, with angles of 90.00, 90.00 and 90.00 degrees. Symmetry generates all atoms from Rb at (0.000, 0.105, 0.250), Nd at (0.000, 0.365, 0.061), Cu at (0.000, 0.164, 0.750), S at (0.000, 0.000, 0.000), S at (0.000, 0.261, 0.615) and S at (0.000, 0.425, 0.250).

The value obtained for the uncorrected formation energy is -1.65 eV/atom.

[8]
VASP calculation (PBEsol) on NdCuS2 after structural relaxation.

The space group is P2_1/c (No. 14) and the conventional cell measures 6.378, 7.113 and 6.772 Å, with angles of 90.00, 97.42 and 90.00 degrees. Symmetry generates all atoms from Nd at (0.190, 0.051, 0.301), Cu at (0.430, 0.664, 0.450), S at (0.088, 0.725, 0.500) and S at (0.406, 0.111, 0.723).

The value obtained for the uncorrected formation energy is -1.43 eV/atom.

[9]
VASP calculation (PBEsol) on Nd3CuSnS7 after structural relaxation.

The space group is P6_3 (No. 173) and the conventional cell measures 10.0629, 10.0629 and 5.9236 Å, with angles of 90.00, 90.00 and 120.00 degrees. Symmetry generates all atoms from Nd at (0.1342, 0.3565, 0.0000), Cu at (0.0000, 0.0000, 0.0364), Sn at (0.3333, 0.6667, 0.4253), S at (0.0859, 0.5731, 0.2527), S at (0.0976, 0.2544, 0.5246) and S at (0.3333, 0.6667, 0.8220).

The value obtained for the uncorrected formation energy is -1.49 eV/atom. The density of states at the Fermi level comes out at 0.000 states/eV per atom.

[10]
VASP calculation (PBEsol) on SrNdCuS3 after structural relaxation.

The space group is Pnma (No. 62) and the conventional cell measures 10.525, 3.953 and 12.721 Å, with angles of 90.00, 90.00 and 90.00 degrees. Symmetry generates all atoms from Sr at (0.208, 0.250, 0.004), Nd at (0.017, 0.750, 0.270), Cu at (0.232, 0.750, 0.777), S at (0.050, 0.750, 0.880), S at (0.109, 0.250, 0.402) and S at (0.242, 0.250, 0.675).

The value obtained for the uncorrected formation energy is -1.70 eV/atom.

[11]
VASP calculation (PBEsol) on Nd3Cu3Sb4 after structural relaxation.

The space group is I-43d (No. 220) and the conventional cell measures 9.616, 9.616 and 9.616 Å, with angles of 90.00, 90.00 and 90.00 degrees. Symmetry generates all atoms from Nd at (0.000, 0.250, 0.375), Cu at (0.000, 0.250, 0.875) and Sb at (0.081, 0.081, 0.081).

The value obtained for the uncorrected formation energy is -0.81 eV/atom. The density of states at the Fermi level comes out at 0.092 states/eV per atom.

[12]
VASP calculation (PBEsol) on NdCuSe2 after structural relaxation.

The space group is P2_1/c (No. 14) and the conventional cell measures 6.574, 7.404 and 7.101 Å, with angles of 90.00, 96.29 and 90.00 degrees. Symmetry generates all atoms from Nd at (0.192, 0.046, 0.300), Cu at (0.439, 0.663, 0.454), Se at (0.086, 0.722, 0.499) and Se at (0.396, 0.107, 0.722).

The value obtained for the uncorrected formation energy is -1.26 eV/atom.

[13]
VASP calculation (PBEsol) on Nd3CuSnSe7 after structural relaxation.

The space group is P6_3 (No. 173) and the conventional cell measures 10.4994, 10.4994 and 6.1596 Å, with angles of 90.00, 90.00 and 120.00 degrees. Symmetry generates all atoms from Nd at (0.1352, 0.7802, 0.0000), Cu at (0.0000, 0.0000, 0.0304), Sn at (0.3333, 0.6667, 0.4219), Se at (0.0816, 0.5110, 0.2467), Se at (0.0999, 0.8421, 0.5207) and Se at (0.3333, 0.6667, 0.8263).

The value obtained for the uncorrected formation energy is -1.32 eV/atom.

[14]
VASP calculation (PBEsol) on NdCuSi after structural relaxation.

The space group is P-6m2 (No. 187) and the conventional cell measures 4.0772, 4.0772 and 4.0983 Å, with angles of 90.00, 90.00 and 120.00 degrees. Symmetry generates all atoms from Nd at (0.0000, 0.0000, 0.0000), Cu at (0.6667, 0.3333, 0.5000) and Si at (0.3333, 0.6667, 0.5000).

The value obtained for the uncorrected formation energy is -0.62 eV/atom. The density of states at the Fermi level comes out at 0.850 states/eV per atom.

[15]
VASP calculation (PBEsol) on NdCuSi after structural relaxation.

The space group is P6_3/mmc (No. 194) and the conventional cell measures 4.1472, 4.1472 and 7.8835 Å, with angles of 90.00, 90.00 and 120.00 degrees. Symmetry generates all atoms from Nd at (0.0000, 0.0000, 0.0000), Cu at (0.3333, 0.6667, 0.2500) and Si at (0.3333, 0.6667, 0.7500).

The value obtained for the uncorrected formation energy is -0.64 eV/atom. The density of states at the Fermi level comes out at 0.371 states/eV per atom.

[16]
VASP calculation (PBEsol) on Nd3Cu4Sn4 after structural relaxation.

The space group is Immm (No. 71) and the conventional cell measures 4.525, 6.903 and 14.823 Å, with angles of 90.00, 90.00 and 90.00 degrees. Symmetry generates all atoms from Nd at (0.000, 0.000, 0.000), Nd at (0.000, 0.500, 0.133), Cu at (0.000, 0.316, 0.332), Sn at (0.000, 0.000, 0.216) and Sn at (0.000, 0.202, 0.500).

For the raw total energy, the calculation gives -112.1 eV/cell. The density of states at the Fermi level comes out at 0.236 states/eV per atom.

[17]
VASP calculation (PBEsol) on NdCu9Sn4 after structural relaxation.

The space group is I4/mcm (No. 140) and the conventional cell measures 8.506, 8.506 and 12.219 Å, with angles of 90.00, 90.00 and 90.00 degrees. Symmetry generates all atoms from Nd at (0.000, 0.000, 0.250), Cu at (0.000, 0.500, 0.000), Cu at (0.054, 0.200, 0.000), Cu at (0.108, 0.392, 0.173) and Sn at (0.186, 0.314, 0.372).

For the raw total energy, the calculation gives -255.1 eV/cell. The density of states at the Fermi level comes out at 0.207 states/eV per atom.

no.,calculated density (g/cm3)
1,7.1
2,7.1
3,7.2
4,7.7
5,9.3
6,9.6
7,4.8
8,5.9
9,5.4
10,4.9
11,8.3
12,7.1
13,6.6
14,6.6
15,6.7
16,8.3
17,8.9